[1]
This record from Alexandria describes an optimized crystal structure of Tm12FeBi6. The functional is PBE.

VASP energy	-4.8802	eV/atom

a = 13.0377 Å, b = 13.0377 Å, c = 11.9995 Å
α = 90.00°, β = 90.00°, γ = 120.00°
Space group R-3 (No. 148, hexagonal axes)
Symmetry-distinct sites (fractional):
Tm (0.0261, 0.1779, 0.3837) x18
Tm (0.0654, 0.1820, 0.8809) x18
Fe (0.0000, 0.0000, 0.0000) x3
Bi (0.0408, 0.2903, 0.6364) x18

[2]
This record from Alexandria describes an optimized crystal structure of Tm2FeBi. The functional is PBE.

VASP energy	-5.1995	eV/atom

a = 3.5681 Å, b = 3.5681 Å, c = 29.4012 Å
α = 90.00°, β = 90.00°, γ = 120.00°
Space group R-3m (No. 166, hexagonal axes)
Symmetry-distinct sites (fractional):
Tm (0.0000, 0.0000, 0.1089) x6
Fe (0.0000, 0.0000, 0.5000) x3
Bi (0.0000, 0.0000, 0.0000) x3

[3]
This record from Alexandria describes an optimized crystal structure of Tm4FeBi. The functional is PBE.

VASP energy	-5.3662	eV/atom

a = 8.7709 Å, b = 13.1234 Å, c = 5.9669 Å
α = 90.00°, β = 111.31°, γ = 90.00°
Space group C2/c (No. 15)
Symmetry-distinct sites (fractional):
Tm (0.1060, 0.1613, 0.0596) x8
Tm (0.2281, 0.4283, 0.3628) x8
Fe (0.0000, 0.0006, 0.7500) x4
Bi (0.0000, 0.3715, 0.7500) x4

[4]
This record from Alexandria describes an optimized crystal structure of Tm5FeBi2. The functional is PBE.

VASP energy	-4.8923	eV/atom

a = 5.3161 Å, b = 15.9975 Å, c = 13.9406 Å
α = 90.00°, β = 90.00°, γ = 90.00°
Space group Cmcm (No. 63)
Symmetry-distinct sites (fractional):
Tm (0.0000, 0.0532, 0.1234) x8
Tm (0.0000, 0.2671, 0.1095) x8
Tm (0.0000, 0.3127, 0.7500) x4
Fe (0.0000, 0.1627, 0.2500) x4
Bi (0.0000, 0.1414, 0.5785) x8

[5]
This record from Alexandria describes an optimized crystal structure of Tm8Fe2Bi. The functional is PBE.

VASP energy	-5.2465	eV/atom

a = 14.9045 Å, b = 6.3912 Å, c = 6.2140 Å
α = 90.00°, β = 97.25°, γ = 90.00°
Space group C2/m (No. 12)
Symmetry-distinct sites (fractional):
Tm (0.0742, 0.0000, 0.3355) x4
Tm (0.1373, 0.2511, 0.8864) x8
Tm (0.2049, 0.5000, 0.3852) x4
Fe (0.2228, 0.0000, 0.2006) x4
Bi (0.0000, 0.5000, 0.5000) x2

[6]
This record from Alexandria describes an optimized crystal structure of Tm4FeBi. The functional is PBE.

VASP energy	-5.0963	eV/atom

a = 16.6920 Å, b = 5.0601 Å, c = 9.3069 Å
α = 90.00°, β = 105.92°, γ = 90.00°
Space group C2/m (No. 12)
Symmetry-distinct sites (fractional):
Tm (0.0087, 0.0000, 0.2601) x4
Tm (0.1002, 0.5000, 0.0563) x4
Tm (0.1942, 0.0000, 0.9135) x4
Tm (0.2296, 0.0000, 0.3048) x4
Fe (0.0804, 0.0000, 0.0562) x4
Bi (0.1470, 0.0000, 0.5696) x4